# La2TbDy2Tm2

A relaxed La2TbDy2Tm2 crystal (PBE, Alexandria).

V: 33.3 Å³/atom
Raw total energy: -4.58 eV per atom
SG: C2/m

Lattice parameters (Å, degrees): 3.5174 6.1467 11.8817 71.94 90.00 106.63
Closest atoms and distances in Å follow each position.
Atoms (fractional coordinates):
La 0.3273 0.6546 0.0843  5 La 3.52-3.91, 4 Tm 3.57-3.64, 2 Dy 3.65
La 0.6727 0.3454 0.9157  5 La 3.52-3.91, 4 Tm 3.57-3.64, 2 Dy 3.65
Tm 0.4517 0.9033 0.7674  3 Dy 3.50-3.57, 2 Tb 3.51, 2 Tm 3.52, 4 La 3.57-3.64
Tm 0.5483 0.0967 0.2326  3 Dy 3.50-3.57, 2 Tb 3.51, 2 Tm 3.52, 4 La 3.57-3.64
Dy 0.2265 0.4531 0.6337  3 Tm 3.50-3.57, 4 Dy 3.51-3.52, 3 Tb 3.52-3.56, 2 La 3.65
Dy 0.7735 0.5469 0.3663  3 Tm 3.50-3.57, 4 Dy 3.51-3.52, 3 Tb 3.52-3.56, 2 La 3.65
Tb 0.0000 0.0000 0.5000  4 Tm 3.51, 2 Tb 3.52, 6 Dy 3.52-3.56



# LaTbDy2Tm4

A relaxed LaTbDy2Tm4 crystal (PBE, Alexandria).

V: 32.7 Å³/atom
Raw total energy: -4.15 eV per atom
SG: Imma

Lattice parameters (Å, degrees): 9.4523 9.4522 11.7109 128.28 128.28 88.68
Closest atoms and distances in Å follow each position.
Atoms (fractional coordinates):
Tm 0.7508 0.2489 0.4999  3 Dy 3.29-3.38, 1 La 3.32, 2 Tm 3.38, 2 Tb 3.38
Tm 0.2511 0.7492 0.0001  3 Dy 3.29-3.38, 1 La 3.32, 2 Tm 3.38, 2 Tb 3.38
Tm 0.7490 0.7498 0.4966  3 Dy 3.30-3.35, 1 Tb 3.31, 2 Tm 3.38, 2 La 3.41
Tm 0.2510 0.2502 0.5034  3 Dy 3.30-3.35, 1 Tb 3.31, 2 Tm 3.38, 2 La 3.41
Tm 0.7502 0.7510 0.0034  3 Dy 3.30-3.35, 1 Tb 3.31, 2 Tm 3.38, 2 La 3.41
Tm 0.2498 0.2490 0.9966  3 Dy 3.30-3.35, 1 Tb 3.31, 2 Tm 3.38, 2 La 3.41
Tm 0.2492 0.7511 0.5001  3 Dy 3.29-3.38, 1 La 3.32, 2 Tm 3.38, 2 Tb 3.38
Tm 0.7489 0.2508 0.9999  3 Dy 3.29-3.38, 1 La 3.32, 2 Tm 3.38, 2 Tb 3.38
Tb 0.0000 0.5000 0.5000  6 Tm 3.31-3.38, 2 Dy 3.38
Tb 0.0000 0.5000 0.0000  6 Tm 3.31-3.38, 2 Dy 3.38
Dy 0.5000 0.5000 0.0000  6 Tm 3.29-3.35, 2 Dy 3.38
Dy 0.5000 0.0000 0.0000  6 Tm 3.30-3.38, 2 Tb 3.38
Dy 0.5000 0.0000 0.5000  6 Tm 3.30-3.38, 2 Tb 3.38
Dy 0.0000 0.0000 0.5000  6 Tm 3.29-3.35, 2 Dy 3.38
La 0.0000 0.0000 0.0000  6 Tm 3.32-3.41, 2 La 3.38
La 0.5000 0.5000 0.5000  6 Tm 3.32-3.41, 2 La 3.38



# La2Tb4Dy2Tm

A relaxed La2Tb4Dy2Tm crystal (PBE, Alexandria).

V: 32.8 Å³/atom
Raw total energy: -4.67 eV per atom
SG: C2/m

Lattice parameters (Å, degrees): 3.6245 9.5613 9.6148 115.17 90.00 100.93
Closest atoms and distances in Å follow each position.
Atoms (fractional coordinates):
Tb 0.8144 0.6288 0.6633  3 Dy 3.51-3.63, 6 Tb 3.52-3.62, 1 Tm 3.58, 2 La 3.60
Tb 0.4802 0.9604 0.6646  4 Dy 3.52-3.62, 5 Tb 3.55-3.62, 1 La 3.56, 2 Tm 3.58
Tb 0.1856 0.3712 0.3367  3 Dy 3.51-3.63, 6 Tb 3.52-3.62, 1 Tm 3.58, 2 La 3.60
Tb 0.5198 0.0396 0.3354  4 Dy 3.52-3.62, 5 Tb 3.55-3.62, 1 La 3.56, 2 Tm 3.58
La 0.6647 0.3295 0.9981  3 Tb 3.56-3.60, 3 Dy 3.59-3.63, 2 Tm 3.59, 4 La 3.62-3.67
La 0.3353 0.6705 0.0019  3 Tb 3.56-3.60, 3 Dy 3.59-3.63, 2 Tm 3.59, 4 La 3.62-3.67
Dy 0.8532 0.7063 0.3376  7 Tb 3.51-3.63, 3 La 3.59-3.63, 2 Dy 3.62
Dy 0.1468 0.2937 0.6624  7 Tb 3.51-3.63, 3 La 3.59-3.63, 2 Dy 3.62
Tm 0.0000 0.0000 0.0000  6 Tb 3.58, 4 La 3.59, 2 Tm 3.62



# La3TbDyTm

A relaxed La3TbDyTm crystal (PBE, Alexandria).

V: 34.1 Å³/atom
Raw total energy: -4.72 eV per atom
SG: P2_1/m

Lattice parameters (Å, degrees): 3.6426 10.9269 10.9090 109.60 90.00 90.00
Closest atoms and distances in Å follow each position.
Atoms (fractional coordinates):
La 0.2500 0.1250 0.9535  1 Tm 3.59, 2 Dy 3.60, 3 Tb 3.60-3.75, 6 La 3.64-3.70
La 0.2500 0.6231 0.7943  3 Dy 3.61-3.63, 7 La 3.64-3.70, 2 Tb 3.74
La 0.2500 0.6302 0.4573  1 Dy 3.60, 2 Tm 3.62, 2 Tb 3.62, 7 La 3.64-3.75
La 0.7500 0.8750 0.0465  1 Tm 3.59, 2 Dy 3.60, 3 Tb 3.60-3.75, 6 La 3.64-3.70
La 0.7500 0.3698 0.5427  1 Dy 3.60, 2 Tm 3.62, 2 Tb 3.62, 7 La 3.64-3.75
La 0.7500 0.3769 0.2057  3 Dy 3.61-3.63, 7 La 3.64-3.70, 2 Tb 3.74
Dy 0.7500 0.3721 0.8734  6 La 3.60-3.63, 4 Dy 3.64-3.68, 2 Tm 3.65
Dy 0.2500 0.6279 0.1266  6 La 3.60-3.63, 4 Dy 3.64-3.68, 2 Tm 3.65
Tb 0.2500 0.1198 0.2952  3 Tm 3.55-3.57, 7 La 3.60-3.75, 2 Tb 3.64
Tb 0.7500 0.8802 0.7048  3 Tm 3.55-3.57, 7 La 3.60-3.75, 2 Tb 3.64
Tm 0.7500 0.8794 0.3773  3 Tb 3.55-3.57, 4 Tm 3.56-3.64, 3 La 3.59-3.62, 2 Dy 3.65
Tm 0.2500 0.1206 0.6227  3 Tb 3.55-3.57, 4 Tm 3.56-3.64, 3 La 3.59-3.62, 2 Dy 3.65



# La6TbDyTm2

A relaxed La6TbDyTm2 crystal (PBE, Alexandria).

V: 34.8 Å³/atom
Raw total energy: -4.67 eV per atom
SG: C2/c

Lattice parameters (Å, degrees): 9.7903 9.0084 9.0084 117.69 94.37 94.37
Closest atoms and distances in Å follow each position.
Atoms (fractional coordinates):
La 0.8077 0.4389 0.9961  3 La 3.32-3.70, 1 Dy 3.45, 1 Tm 3.55, 1 Tb 3.62
La 0.1923 0.5611 0.0039  3 La 3.32-3.70, 1 Dy 3.45, 1 Tm 3.55, 1 Tb 3.62
La 0.0524 0.1081 0.7603  5 La 3.46-3.80, 2 Tm 3.50-3.85, 2 Tb 3.65-3.85
La 0.3077 0.9961 0.4389  3 La 3.32-3.70, 1 Dy 3.45, 1 Tm 3.55, 1 Tb 3.62
La 0.6923 0.0039 0.5611  3 La 3.32-3.70, 1 Dy 3.45, 1 Tm 3.55, 1 Tb 3.62
La 0.6204 0.4904 0.7038  3 La 3.32-3.46, 3 Tm 3.34-3.50, 2 Dy 3.44-3.62
La 0.8796 0.2962 0.5096  3 La 3.32-3.46, 3 Tm 3.34-3.50, 2 Dy 3.44-3.62
La 0.5524 0.7603 0.1081  5 La 3.46-3.80, 2 Tm 3.50-3.85, 2 Tb 3.65-3.85
La 0.4476 0.2397 0.8919  5 La 3.46-3.80, 2 Tm 3.50-3.85, 2 Tb 3.65-3.85
La 0.9476 0.8919 0.2397  5 La 3.46-3.80, 2 Tm 3.50-3.85, 2 Tb 3.65-3.85
La 0.3796 0.5096 0.2962  3 La 3.32-3.46, 3 Tm 3.34-3.50, 2 Dy 3.44-3.62
La 0.1204 0.7038 0.4904  3 La 3.32-3.46, 3 Tm 3.34-3.50, 2 Dy 3.44-3.62
Tb 0.7500 0.0268 0.9732  4 Tm 3.43, 4 La 3.62-3.65
Tb 0.2500 0.9732 0.0268  4 Tm 3.43, 4 La 3.62-3.65
Dy 0.7500 0.5886 0.4114  6 La 3.44-3.62, 2 Tm 3.55
Dy 0.2500 0.4114 0.5886  6 La 3.44-3.62, 2 Tm 3.55
Tm 0.9532 0.7090 0.8023  5 La 3.34-3.55, 2 Tb 3.43, 1 Dy 3.55
Tm 0.5468 0.1977 0.2910  5 La 3.34-3.55, 2 Tb 3.43, 1 Dy 3.55
Tm 0.0468 0.2910 0.1977  5 La 3.34-3.55, 2 Tb 3.43, 1 Dy 3.55
Tm 0.4532 0.8023 0.7090  5 La 3.34-3.55, 2 Tb 3.43, 1 Dy 3.55



# La2TbDy6Tm3

A relaxed La2TbDy6Tm3 crystal (PBE, Alexandria).

V: 32.0 Å³/atom
Raw total energy: -4.60 eV per atom
SG: C2/m

Lattice parameters (Å, degrees): 6.1788 6.1788 11.8080 95.00 95.00 119.99
Closest atoms and distances in Å follow each position.
Atoms (fractional coordinates):
Dy 0.4183 0.0860 0.2559  3 Tm 3.50-3.51, 6 Dy 3.56-3.57, 1 Tb 3.62, 2 La 3.62
Dy 0.2461 0.2461 0.7440  3 Tm 3.50-3.51, 6 Dy 3.56-3.57, 1 Tb 3.61, 2 La 3.62
Dy 0.5817 0.9140 0.7441  3 Tm 3.50-3.51, 6 Dy 3.56-3.57, 1 Tb 3.62, 2 La 3.62
Dy 0.9140 0.5817 0.7441  3 Tm 3.50-3.51, 6 Dy 3.56-3.57, 1 Tb 3.62, 2 La 3.62
Dy 0.7539 0.7539 0.2560  3 Tm 3.50-3.51, 6 Dy 3.56-3.57, 1 Tb 3.61, 2 La 3.62
Dy 0.0860 0.4183 0.2559  3 Tm 3.50-3.51, 6 Dy 3.56-3.57, 1 Tb 3.62, 2 La 3.62
La 0.3335 0.6665 0.0000  3 La 3.56-3.57, 3 Tb 3.57, 6 Dy 3.62
La 0.6665 0.3335 0.0000  3 La 3.56-3.57, 3 Tb 3.57, 6 Dy 3.62
Tm 0.1664 0.8336 0.5000  6 Dy 3.50-3.51, 6 Tm 3.56-3.57
Tm 0.8336 0.1664 0.5000  6 Dy 3.50-3.51, 6 Tm 3.56-3.57
Tm 0.5000 0.5000 0.5000  6 Dy 3.50-3.51, 6 Tm 3.57
Tb 0.0000 0.0000 0.0000  6 La 3.57, 6 Dy 3.61-3.62



# La2Tb6DyTm

A relaxed La2Tb6DyTm crystal (PBE, Alexandria).

V: 33.0 Å³/atom
Raw total energy: -4.55 eV per atom
SG: C2/c

Lattice parameters (Å, degrees): 9.8803 8.7681 8.7681 117.95 95.19 95.19
Closest atoms and distances in Å follow each position.
Atoms (fractional coordinates):
La 0.9579 0.7068 0.8060  5 Tb 3.27-3.57, 2 Dy 3.35-3.40, 1 Tm 3.56
La 0.4579 0.8060 0.7068  5 Tb 3.27-3.57, 2 Dy 3.35-3.40, 1 Tm 3.56
La 0.0421 0.2932 0.1940  5 Tb 3.27-3.57, 2 Dy 3.35-3.40, 1 Tm 3.56
La 0.5421 0.1940 0.2932  5 Tb 3.27-3.57, 2 Dy 3.35-3.40, 1 Tm 3.56
Tb 0.3108 0.9790 0.4196  4 Tb 3.28-3.64, 1 La 3.41, 1 Tm 3.44, 1 Dy 3.59
Tb 0.3804 0.5038 0.2954  3 La 3.27-3.49, 4 Tb 3.28-3.51, 2 Tm 3.45-3.61
Tb 0.1892 0.5804 0.0210  4 Tb 3.28-3.64, 1 La 3.41, 1 Tm 3.44, 1 Dy 3.59
Tb 0.9429 0.8769 0.2609  8 Tb 3.42-3.80, 1 La 3.57, 1 Dy 3.62, 1 Tm 3.72
Tb 0.8108 0.4196 0.9790  4 Tb 3.28-3.64, 1 La 3.41, 1 Tm 3.44, 1 Dy 3.59
Tb 0.0571 0.1231 0.7391  8 Tb 3.42-3.80, 1 La 3.57, 1 Dy 3.62, 1 Tm 3.72
Tb 0.8804 0.2954 0.5038  3 La 3.27-3.49, 4 Tb 3.28-3.51, 2 Tm 3.45-3.61
Tb 0.4429 0.2609 0.8769  8 Tb 3.42-3.80, 1 La 3.57, 1 Dy 3.62, 1 Tm 3.72
Tb 0.6196 0.4962 0.7046  3 La 3.27-3.49, 4 Tb 3.28-3.51, 2 Tm 3.45-3.61
Tb 0.6892 0.0210 0.5804  4 Tb 3.28-3.64, 1 La 3.41, 1 Tm 3.44, 1 Dy 3.59
Tb 0.5571 0.7391 0.1231  8 Tb 3.42-3.80, 1 La 3.57, 1 Dy 3.62, 1 Tm 3.72
Tb 0.1196 0.7046 0.4962  3 La 3.27-3.49, 4 Tb 3.28-3.51, 2 Tm 3.45-3.61
Dy 0.7500 0.0135 0.9865  4 La 3.35-3.40, 4 Tb 3.59-3.62
Dy 0.2500 0.9865 0.0135  4 La 3.35-3.40, 4 Tb 3.59-3.62
Tm 0.7500 0.5954 0.4046  8 Tb 3.44-3.72, 2 La 3.56
Tm 0.2500 0.4046 0.5954  8 Tb 3.44-3.72, 2 La 3.56



# La2Tb2DyTm2

A relaxed La2Tb2DyTm2 crystal (PBE, Alexandria).

V: 33.6 Å³/atom
Raw total energy: -4.52 eV per atom
SG: C2/m

Lattice parameters (Å, degrees): 3.4826 9.2701 8.5595 119.25 90.00 100.83
Closest atoms and distances in Å follow each position.
Atoms (fractional coordinates):
Tm 0.7884 0.5768 0.3792  1 Dy 3.46, 3 Tb 3.47-3.54, 4 Tm 3.48, 3 La 3.49-3.70
Tm 0.2116 0.4232 0.6208  1 Dy 3.46, 3 Tb 3.47-3.54, 4 Tm 3.48, 3 La 3.49-3.70
Tb 0.5694 0.1388 0.2374  3 Tm 3.47-3.54, 3 Tb 3.48-3.56, 2 La 3.49-3.68, 2 Dy 3.54
Tb 0.4306 0.8612 0.7626  3 Tm 3.47-3.54, 3 Tb 3.48-3.56, 2 La 3.49-3.68, 2 Dy 3.54
Dy 0.0000 0.0000 0.5000  2 Tm 3.46, 2 Dy 3.48, 4 Tb 3.54, 4 La 3.66
La 0.3525 0.7050 0.0844  4 La 3.48-3.70, 2 Tb 3.49-3.68, 3 Tm 3.49-3.70, 2 Dy 3.66
La 0.6475 0.2950 0.9156  4 La 3.48-3.70, 2 Tb 3.49-3.68, 3 Tm 3.49-3.70, 2 Dy 3.66



# La2Tb3Dy6Tm

A relaxed La2Tb3Dy6Tm crystal (PBE, Alexandria).

V: 32.3 Å³/atom
Raw total energy: -4.63 eV per atom
SG: C2/m

Lattice parameters (Å, degrees): 6.1977 6.1977 11.8463 94.99 94.99 119.99
Closest atoms and distances in Å follow each position.
Atoms (fractional coordinates):
Dy 0.4164 0.0847 0.2532  3 Tb 3.54-3.55, 6 Dy 3.56-3.59, 1 Tm 3.60, 2 La 3.61
Dy 0.0847 0.4164 0.2532  3 Tb 3.54-3.55, 6 Dy 3.56-3.59, 1 Tm 3.60, 2 La 3.61
Dy 0.7532 0.7532 0.2537  3 Tb 3.53-3.55, 6 Dy 3.56-3.59, 1 Tm 3.60, 2 La 3.61
Dy 0.9153 0.5836 0.7468  3 Tb 3.54-3.55, 6 Dy 3.56-3.59, 1 Tm 3.60, 2 La 3.61
Dy 0.2468 0.2468 0.7463  3 Tb 3.53-3.55, 6 Dy 3.56-3.59, 1 Tm 3.60, 2 La 3.61
Dy 0.5836 0.9153 0.7468  3 Tb 3.54-3.55, 6 Dy 3.56-3.59, 1 Tm 3.60, 2 La 3.61
Tb 0.5000 0.5000 0.5000  6 Dy 3.54-3.55, 6 Tb 3.58
Tb 0.8335 0.1665 0.5000  6 Dy 3.53-3.55, 6 Tb 3.58
Tb 0.1665 0.8335 0.5000  6 Dy 3.53-3.55, 6 Tb 3.58
La 0.6662 0.3338 0.0000  3 La 3.57-3.58, 3 Tm 3.58, 6 Dy 3.61
La 0.3338 0.6662 0.0000  3 La 3.57-3.58, 3 Tm 3.58, 6 Dy 3.61
Tm 0.0000 0.0000 0.0000  6 La 3.58, 6 Dy 3.60



# La4Tb2DyTm2

A relaxed La4Tb2DyTm2 crystal (PBE, Alexandria).

V: 33.7 Å³/atom
Raw total energy: -4.69 eV per atom
SG: C2/m

Lattice parameters (Å, degrees): 3.6362 9.5855 8.8759 89.89 90.00 100.93
Closest atoms and distances in Å follow each position.
Atoms (fractional coordinates):
Tm 0.3338 0.6675 0.0024  4 La 3.55-3.60, 2 Tb 3.57, 2 Dy 3.62, 4 Tm 3.64
Tm 0.6662 0.3325 0.9976  4 La 3.55-3.60, 2 Tb 3.57, 2 Dy 3.62, 4 Tm 3.64
Tb 0.8889 0.7777 0.3273  2 Tm 3.57, 1 Dy 3.58, 7 La 3.61-3.72, 2 Tb 3.64
Tb 0.1111 0.2223 0.6727  2 Tm 3.57, 1 Dy 3.58, 7 La 3.61-3.72, 2 Tb 3.64
La 0.5555 0.1110 0.3280  2 Dy 3.59, 1 Tm 3.59, 4 Tb 3.63-3.71, 5 La 3.64-3.70
La 0.7770 0.5539 0.6734  3 Tm 3.55-3.60, 3 Tb 3.61-3.72, 6 La 3.64-3.72
La 0.2230 0.4461 0.3266  3 Tm 3.55-3.60, 3 Tb 3.61-3.72, 6 La 3.64-3.72
La 0.4445 0.8890 0.6720  2 Dy 3.59, 1 Tm 3.59, 4 Tb 3.63-3.71, 5 La 3.64-3.70
Dy 0.0000 0.0000 0.0000  2 Tb 3.58, 4 La 3.59, 4 Tm 3.62, 2 Dy 3.64



# La2Tb2Dy4Tm

A relaxed La2Tb2Dy4Tm crystal (PBE, Alexandria).

V: 32.6 Å³/atom
Raw total energy: -4.66 eV per atom
SG: C2/m

Lattice parameters (Å, degrees): 3.6199 9.5498 9.6044 115.17 90.00 100.93
Closest atoms and distances in Å follow each position.
Atoms (fractional coordinates):
La 0.3354 0.6708 0.0014  3 Dy 3.56-3.59, 2 Tm 3.58, 3 Tb 3.59-3.62, 4 La 3.62-3.67
La 0.6646 0.3292 0.9986  3 Dy 3.56-3.59, 2 Tm 3.58, 3 Tb 3.59-3.62, 4 La 3.62-3.67
Tb 0.8531 0.7062 0.3376  7 Dy 3.50-3.63, 3 La 3.59-3.62, 2 Tb 3.62
Tb 0.1469 0.2938 0.6624  7 Dy 3.50-3.63, 3 La 3.59-3.62, 2 Tb 3.62
Dy 0.4800 0.9600 0.6647  4 Tb 3.51-3.62, 5 Dy 3.55-3.62, 1 La 3.56, 2 Tm 3.57
Dy 0.5200 0.0400 0.3353  4 Tb 3.51-3.62, 5 Dy 3.55-3.62, 1 La 3.56, 2 Tm 3.57
Dy 0.8146 0.6292 0.6628  3 Tb 3.50-3.63, 6 Dy 3.52-3.62, 1 Tm 3.58, 2 La 3.59
Dy 0.1854 0.3708 0.3372  3 Tb 3.50-3.63, 6 Dy 3.52-3.62, 1 Tm 3.58, 2 La 3.59
Tm 0.0000 0.0000 0.0000  6 Dy 3.57-3.58, 4 La 3.58, 2 Tm 3.62



# La3Tb6Dy2Tm

A relaxed La3Tb6Dy2Tm crystal (PBE, Alexandria).

V: 32.9 Å³/atom
Raw total energy: -4.66 eV per atom
SG: C2/m

Lattice parameters (Å, degrees): 6.2371 6.2371 11.9206 95.01 95.01 120.03
Closest atoms and distances in Å follow each position.
Atoms (fractional coordinates):
Tb 0.4140 0.0810 0.2437  1 Tm 3.53, 2 Dy 3.54, 6 Tb 3.60, 3 La 3.66
Tb 0.0810 0.4140 0.2437  1 Tm 3.53, 2 Dy 3.54, 6 Tb 3.60, 3 La 3.66
Tb 0.5860 0.9190 0.7563  1 Tm 3.53, 2 Dy 3.54, 6 Tb 3.60, 3 La 3.66
Tb 0.9190 0.5860 0.7563  1 Tm 3.53, 2 Dy 3.54, 6 Tb 3.60, 3 La 3.66
Tb 0.7481 0.7481 0.2438  2 Dy 3.54, 1 Tm 3.54, 6 Tb 3.60, 3 La 3.66
Tb 0.2519 0.2519 0.7562  2 Dy 3.54, 1 Tm 3.54, 6 Tb 3.60, 3 La 3.66
Tm 0.0000 0.0000 0.0000  6 Tb 3.53-3.54, 6 Dy 3.60
Dy 0.3335 0.6665 0.0000  6 Tb 3.54, 3 Dy 3.60, 3 Tm 3.60
Dy 0.6665 0.3335 0.0000  6 Tb 3.54, 3 Dy 3.60, 3 Tm 3.60
La 0.8333 0.1667 0.5000  6 La 3.60, 6 Tb 3.66
La 0.5000 0.5000 0.5000  6 La 3.60, 6 Tb 3.66
La 0.1667 0.8333 0.5000  6 La 3.60, 6 Tb 3.66



Q: What is the V in the fifth record?
A: 34.8 Å³/atom



Q: Look up the V of the seventh one.
A: 33.0 Å³/atom